Material: AcMgZnHg
Method: DFT, GGA-PBE
State: optimized geometry

Computed properties:
**Volume**: 420.53 Å³/cell
**Energy relative to the elements**: -324 meV per atom
**E**: -2.14 eV/atom

Lattice parameters (Å, degrees): 7.4920 7.4920 7.4920 90.00 90.00 90.00
Sites, in units of the cell vectors:
Ac: 0.0000 0.0000 0.0000
Ac: 0.0000 0.5000 0.5000
Ac: 0.5000 0.0000 0.5000
Ac: 0.5000 0.5000 0.0000
Mg: 0.0000 0.0000 0.5000
Mg: 0.0000 0.5000 0.0000
Mg: 0.5000 0.0000 0.0000
Mg: 0.5000 0.5000 0.5000
Zn: 0.2500 0.2500 0.7500
Zn: 0.2500 0.7500 0.2500
Zn: 0.7500 0.2500 0.2500
Zn: 0.7500 0.7500 0.7500
Hg: 0.2500 0.2500 0.2500
Hg: 0.2500 0.7500 0.7500
Hg: 0.7500 0.2500 0.7500
Hg: 0.7500 0.7500 0.2500

Material: Cr2InAg
Method: DFT, GGA-PBE
State: optimized geometry

Computed properties:
**Volume**: 71.84 Å³/cell
**Energy relative to the elements**: 484 meV per atom
**E**: -5.72 eV/atom

Lattice parameters (Å, degrees): 3.2026 3.2026 7.0045 90.00 90.00 90.00
Sites, in units of the cell vectors:
Cr: 0.0000 0.0000 0.2431
Cr: 0.0000 0.0000 0.7569
In: 0.5000 0.5000 0.5000
Ag: 0.5000 0.5000 0.0000